[1]
An optimized crystal structure of SrBe2ReH, computed with PBE-GGA.

POSCAR file:
```
SrBe2ReH
1.0
4.504 0.000 0.000
0.000 4.504 0.000
0.000 0.000 3.469
Sr Be Re H
1 2 1 1
Direct
0.000 0.000 0.000 Sr
0.000 0.500 0.500 Be
0.500 0.000 0.500 Be
0.500 0.500 0.000 Re
0.500 0.500 0.500 H
```

- Total energy: -4.061 eV per atom

[2]
An optimized crystal structure of Ta2BeReH, computed with PBE-GGA.

POSCAR file:
```
Ta2BeReH
1.0
4.320 0.000 0.000
0.000 4.320 0.000
0.000 0.000 3.362
Ta Be Re H
2 1 1 1
Direct
0.000 0.500 0.000 Ta
0.500 0.000 0.000 Ta
0.000 0.000 0.500 Be
0.500 0.500 0.500 Re
0.000 0.000 0.000 H
```

- Total energy: -8.681 eV per atom

[3]
An optimized crystal structure of BeH2Rh, computed with PBE-GGA.

POSCAR file:
```
BeH2Rh
1.0
2.940 0.000 0.000
-1.470 2.546 0.000
0.000 0.000 12.120
Be H Rh
3 6 3
Direct
0.000 0.000 0.000 Be
0.333 0.667 0.667 Be
0.667 0.333 0.333 Be
0.000 0.000 0.214 H
0.000 0.000 0.405 H
0.333 0.667 0.072 H
0.333 0.667 0.881 H
0.667 0.333 0.548 H
0.667 0.333 0.738 H
0.000 0.000 0.808 Rh
0.333 0.667 0.475 Rh
0.667 0.333 0.141 Rh
```

- Offset from the most stable computed form: 119 meV/atom

[4]
An optimized crystal structure of BeH2Rh, computed with PBE-GGA.

POSCAR file:
```
BeH2Rh
1.0
2.713 0.000 0.000
-0.007 3.343 0.000
-0.511 -1.648 3.703
Be H Rh
1 2 1
Direct
0.000 0.000 0.000 Be
0.001 0.485 0.973 H
0.122 0.800 0.589 H
0.566 0.642 0.285 Rh
```

- Offset from the most stable computed form: 0 meV/atom

[5]
An optimized crystal structure of BeH3Rh, computed with PBE-GGA.

POSCAR file:
```
BeH3Rh
1.0
3.352 0.000 0.000
0.000 3.352 0.000
0.000 0.000 3.352
Be H Rh
1 3 1
Direct
0.000 0.000 0.000 Be
0.000 0.500 0.500 H
0.500 0.000 0.500 H
0.500 0.500 0.000 H
0.500 0.500 0.500 Rh
```

- Offset from the most stable computed form: 0 meV/atom

[6]
An optimized crystal structure of Be3HRh4, computed with PBE-GGA.

POSCAR file:
```
Be3HRh4
1.0
2.755 0.000 0.000
0.000 4.012 0.000
0.000 0.000 7.548
Be H Rh
3 1 4
Direct
0.000 0.000 0.000 Be
0.000 0.500 0.244 Be
0.000 0.500 0.756 Be
0.000 0.000 0.500 H
0.500 0.000 0.267 Rh
0.500 0.000 0.733 Rh
0.500 0.500 0.000 Rh
0.500 0.500 0.500 Rh
```

- Total energy: -5.774 eV per atom

[7]
An optimized crystal structure of Be3HRh, computed with PBE-GGA.

POSCAR file:
```
Be3HRh
1.0
4.190 0.000 0.000
0.000 4.190 0.000
0.000 0.000 4.190
Be H Rh
3 1 1
Direct
0.000 0.000 0.500 Be
0.000 0.500 0.000 Be
0.500 0.000 0.000 Be
0.500 0.500 0.500 H
0.000 0.000 0.000 Rh
```

- Offset from the most stable computed form: 1181 meV/atom

[8]
An optimized crystal structure of Be2HRh, computed with PBE-GGA.

POSCAR file:
```
Be2HRh
1.0
4.761 0.000 0.000
0.000 4.761 0.000
0.000 0.000 5.924
Be H Rh
8 4 4
Direct
0.094 0.250 0.125 Be
0.250 0.594 0.375 Be
0.250 0.906 0.875 Be
0.406 0.250 0.625 Be
0.594 0.750 0.625 Be
0.750 0.094 0.875 Be
0.750 0.406 0.375 Be
0.906 0.750 0.125 Be
0.000 0.000 0.000 H
0.000 0.500 0.250 H
0.500 0.000 0.750 H
0.500 0.500 0.500 H
0.000 0.000 0.500 Rh
0.000 0.500 0.750 Rh
0.500 0.000 0.250 Rh
0.500 0.500 0.000 Rh
```

- Offset from the most stable computed form: 15 meV/atom

[9]
An optimized crystal structure of Be2H6Rh, computed with PBE-GGA.

POSCAR file:
```
Be2H6Rh
1.0
0.000 2.987 2.987
2.987 0.000 2.987
2.987 2.987 0.000
Be H Rh
2 6 1
Direct
0.250 0.250 0.250 Be
0.750 0.750 0.750 Be
0.218 0.218 0.782 H
0.218 0.782 0.218 H
0.218 0.782 0.782 H
0.782 0.218 0.218 H
0.782 0.218 0.782 H
0.782 0.782 0.218 H
0.500 0.500 0.500 Rh
```

- Total energy: -3.644 eV per atom

[10]
An optimized crystal structure of BeH3Rh, computed with PBE-GGA.

POSCAR file:
```
BeH3Rh
1.0
3.147 0.000 0.000
0.000 3.147 0.000
0.000 0.000 3.147
Be H Rh
1 3 1
Direct
0.000 0.000 0.000 Be
0.000 0.000 0.500 H
0.000 0.500 0.000 H
0.500 0.000 0.000 H
0.500 0.500 0.500 Rh
```

- Offset from the most stable computed form: 182 meV/atom

[11]
An optimized crystal structure of BeH2Rh, computed with PBE-GGA.

POSCAR file:
```
BeH2Rh
1.0
4.829 0.000 0.000
0.000 4.829 0.000
0.000 0.000 4.829
Be H Rh
4 8 4
Direct
0.000 0.000 0.000 Be
0.000 0.500 0.500 Be
0.500 0.000 0.500 Be
0.500 0.500 0.000 Be
0.250 0.250 0.250 H
0.250 0.250 0.750 H
0.250 0.750 0.250 H
0.250 0.750 0.750 H
0.750 0.250 0.250 H
0.750 0.250 0.750 H
0.750 0.750 0.250 H
0.750 0.750 0.750 H
0.000 0.000 0.500 Rh
0.000 0.500 0.000 Rh
0.500 0.000 0.000 Rh
0.500 0.500 0.500 Rh
```

- Offset from the most stable computed form: 341 meV/atom

[12]
An optimized crystal structure of BeH2Rh, computed with PBE-GGA.

POSCAR file:
```
BeH2Rh
1.0
3.045 0.000 0.000
-1.522 2.637 0.000
0.000 0.000 11.957
Be H Rh
3 6 3
Direct
0.000 0.000 0.000 Be
0.333 0.667 0.667 Be
0.667 0.333 0.333 Be
0.000 0.000 0.125 H
0.000 0.000 0.875 H
0.333 0.667 0.542 H
0.333 0.667 0.792 H
0.667 0.333 0.208 H
0.667 0.333 0.458 H
0.000 0.000 0.500 Rh
0.333 0.667 0.167 Rh
0.667 0.333 0.833 Rh
```

- Offset from the most stable computed form: 178 meV/atom

[13]
An optimized crystal structure of Be3HRh, computed with PBE-GGA.

POSCAR file:
```
Be3HRh
1.0
3.420 0.000 0.000
0.000 3.420 0.000
0.000 0.000 3.420
Be H Rh
3 1 1
Direct
0.000 0.000 0.500 Be
0.000 0.500 0.000 Be
0.500 0.000 0.000 Be
0.000 0.000 0.000 H
0.500 0.500 0.500 Rh
```

- Offset from the most stable computed form: 0 meV/atom

[14]
An optimized crystal structure of Be3H5Rh12, computed with PBE-GGA.

POSCAR file:
```
Be3H5Rh12
1.0
-6.000 6.000 6.000
6.000 -6.000 6.000
6.000 6.000 -6.000
Be H Rh
12 20 48
Direct
0.125 0.250 0.375 Be
0.125 0.375 0.750 Be
0.250 0.375 0.125 Be
0.250 0.875 0.625 Be
0.375 0.125 0.250 Be
0.375 0.750 0.125 Be
0.625 0.250 0.875 Be
0.625 0.875 0.750 Be
0.750 0.125 0.375 Be
0.750 0.625 0.875 Be
0.875 0.625 0.250 Be
0.875 0.750 0.625 Be
0.000 0.000 0.000 H
0.000 0.000 0.500 H
0.000 0.500 0.000 H
0.000 0.500 0.500 H
0.125 0.750 0.875 H
0.125 0.875 0.250 H
0.250 0.125 0.875 H
0.250 0.625 0.375 H
0.375 0.250 0.625 H
0.375 0.625 0.750 H
0.500 0.000 0.000 H
0.500 0.000 0.500 H
0.500 0.500 0.000 H
0.500 0.500 0.500 H
0.625 0.375 0.250 H
0.625 0.750 0.375 H
0.750 0.375 0.625 H
0.750 0.875 0.125 H
0.875 0.125 0.750 H
0.875 0.250 0.125 H
0.024 0.209 0.116 Rh
0.024 0.315 0.908 Rh
0.092 0.616 0.407 Rh
0.092 0.976 0.685 Rh
0.093 0.709 0.685 Rh
0.093 0.884 0.408 Rh
0.116 0.024 0.209 Rh
0.116 0.592 0.907 Rh
0.185 0.209 0.593 Rh
0.185 0.476 0.592 Rh
0.209 0.116 0.024 Rh
0.209 0.593 0.185 Rh
0.291 0.315 0.907 Rh
0.291 0.476 0.384 Rh
0.315 0.907 0.291 Rh
0.315 0.908 0.024 Rh
0.384 0.291 0.476 Rh
0.384 0.593 0.908 Rh
0.407 0.092 0.616 Rh
0.407 0.815 0.791 Rh
0.408 0.093 0.884 Rh
0.408 0.815 0.524 Rh
0.476 0.384 0.291 Rh
0.476 0.592 0.185 Rh
0.524 0.408 0.815 Rh
0.524 0.616 0.709 Rh
0.592 0.185 0.476 Rh
0.592 0.907 0.116 Rh
0.593 0.185 0.209 Rh
0.593 0.908 0.384 Rh
0.616 0.407 0.092 Rh
0.616 0.709 0.524 Rh
0.685 0.092 0.976 Rh
0.685 0.093 0.709 Rh
0.709 0.524 0.616 Rh
0.709 0.685 0.093 Rh
0.791 0.407 0.815 Rh
0.791 0.884 0.976 Rh
0.815 0.524 0.408 Rh
0.815 0.791 0.407 Rh
0.884 0.408 0.093 Rh
0.884 0.976 0.791 Rh
0.907 0.116 0.592 Rh
0.907 0.291 0.315 Rh
0.908 0.024 0.315 Rh
0.908 0.384 0.593 Rh
0.976 0.685 0.092 Rh
0.976 0.791 0.884 Rh
```

- Total energy: -5.828 eV per atom

[15]
An optimized crystal structure of Be2HRh, computed with PBE-GGA.

POSCAR file:
```
Be2HRh
1.0
5.273 0.000 0.000
0.000 5.273 0.000
0.000 0.000 5.273
Be H Rh
8 4 4
Direct
0.250 0.250 0.250 Be
0.250 0.250 0.750 Be
0.250 0.750 0.250 Be
0.250 0.750 0.750 Be
0.750 0.250 0.250 Be
0.750 0.250 0.750 Be
0.750 0.750 0.250 Be
0.750 0.750 0.750 Be
0.000 0.000 0.000 H
0.000 0.500 0.500 H
0.500 0.000 0.500 H
0.500 0.500 0.000 H
0.000 0.000 0.500 Rh
0.000 0.500 0.000 Rh
0.500 0.000 0.000 Rh
0.500 0.500 0.500 Rh
```

- Offset from the most stable computed form: 342 meV/atom

[16]
An optimized crystal structure of BeH2Rh, computed with PBE-GGA.

POSCAR file:
```
BeH2Rh
1.0
3.623 0.000 0.000
0.000 3.623 0.000
0.000 0.000 9.070
Be H Rh
4 8 4
Direct
0.000 0.000 0.000 Be
0.000 0.500 0.250 Be
0.500 0.000 0.750 Be
0.500 0.500 0.500 Be
0.230 0.250 0.125 H
0.250 0.730 0.375 H
0.250 0.770 0.875 H
0.270 0.250 0.625 H
0.730 0.750 0.625 H
0.750 0.230 0.875 H
0.750 0.270 0.375 H
0.770 0.750 0.125 H
0.000 0.000 0.500 Rh
0.000 0.500 0.750 Rh
0.500 0.000 0.250 Rh
0.500 0.500 0.000 Rh
```

- Offset from the most stable computed form: 72 meV/atom

[17]
An optimized crystal structure of BeHRh, computed with PBE-GGA.

POSCAR file:
```
BeHRh
1.0
2.787 0.000 0.000
0.000 2.787 0.000
0.000 0.000 7.069
Be H Rh
2 2 2
Direct
0.000 0.000 0.000 Be
0.500 0.500 0.500 Be
0.000 0.000 0.769 H
0.500 0.500 0.269 H
0.000 0.000 0.319 Rh
0.500 0.500 0.819 Rh
```

- Offset from the most stable computed form: 159 meV/atom

[18]
An optimized crystal structure of BeHRh3, computed with PBE-GGA.

POSCAR file:
```
BeHRh3
1.0
3.813 0.000 0.000
0.000 3.813 0.000
0.000 0.000 3.813
Be H Rh
1 1 3
Direct
0.000 0.000 0.000 Be
0.500 0.500 0.500 H
0.000 0.500 0.500 Rh
0.500 0.000 0.500 Rh
0.500 0.500 0.000 Rh
```

- Offset from the most stable computed form: 0 meV/atom

[19]
An optimized crystal structure of BeHRh, computed with PBE-GGA.

POSCAR file:
```
BeHRh
1.0
3.039 0.000 0.000
-1.519 2.632 0.000
0.000 0.000 3.256
Be H Rh
1 1 1
Direct
0.000 0.000 0.000 Be
0.333 0.667 0.397 H
0.667 0.333 0.498 Rh
```

- Offset from the most stable computed form: 0 meV/atom

[20]
An optimized crystal structure of Be2HRh, computed with PBE-GGA.

POSCAR file:
```
Be2HRh
1.0
2.749 0.000 0.000
-1.374 2.380 0.000
0.000 0.000 18.777
Be H Rh
6 3 3
Direct
0.000 0.000 0.077 Be
0.000 0.000 0.923 Be
0.333 0.667 0.590 Be
0.333 0.667 0.744 Be
0.667 0.333 0.256 Be
0.667 0.333 0.410 Be
0.000 0.000 0.000 H
0.333 0.667 0.667 H
0.667 0.333 0.333 H
0.000 0.000 0.500 Rh
0.333 0.667 0.167 Rh
0.667 0.333 0.833 Rh
```

- Offset from the most stable computed form: 0 meV/atom

[21]
An optimized crystal structure of Be2HRuRh, computed with PBE-GGA.

POSCAR file:
```
Be2HRuRh
1.0
3.900 0.000 0.000
0.000 3.900 0.000
0.000 0.000 3.154
Be H Ru Rh
2 1 1 1
Direct
0.000 0.500 0.000 Be
0.500 0.000 0.000 Be
0.000 0.000 0.000 H
0.000 0.000 0.500 Ru
0.500 0.500 0.500 Rh
```

- Offset from the most stable computed form: 0 meV/atom

[22]
An optimized crystal structure of Be2HRuRh, computed with PBE-GGA.

POSCAR file:
```
Be2HRuRh
1.0
3.895 0.000 0.000
0.000 3.895 0.000
0.000 0.000 3.170
Be H Ru Rh
2 1 1 1
Direct
0.000 0.500 0.000 Be
0.500 0.000 0.000 Be
0.000 0.000 0.000 H
0.500 0.500 0.500 Ru
0.000 0.000 0.500 Rh
```

- Offset from the most stable computed form: 44 meV/atom

[23]
An optimized crystal structure of BeSbHRh2, computed with PBE-GGA.

POSCAR file:
```
BeSbHRh2
1.0
4.081 0.000 0.000
0.000 4.081 0.000
0.000 0.000 3.643
Be Sb H Rh
1 1 1 2
Direct
0.000 0.000 0.000 Be
0.500 0.500 0.000 Sb
0.000 0.000 0.500 H
0.000 0.500 0.500 Rh
0.500 0.000 0.500 Rh
```

- Total energy: -5.303 eV per atom

[24]
An optimized crystal structure of ScBeHRh2, computed with PBE-GGA.

POSCAR file:
```
ScBeHRh2
1.0
4.117 0.000 0.000
0.000 4.117 0.000
0.000 0.000 3.405
Sc Be H Rh
1 1 1 2
Direct
0.000 0.000 0.000 Sc
0.500 0.500 0.000 Be
0.500 0.500 0.500 H
0.000 0.500 0.500 Rh
0.500 0.000 0.500 Rh
```

- Total energy: -6.173 eV per atom

Number 1: N(E_F) 0.5880 states/eV per atom. Number 2: N(E_F) 0.3934 states/eV per atom. Number 3: N(E_F) 0.2599 states/eV per atom. Number 4: N(E_F) 0.1740 states/eV per atom. Number 5: N(E_F) 0.1041 states/eV per atom. Number 6: N(E_F) 0.8314 states/eV per atom. Number 7: N(E_F) 0.4386 states/eV per atom. Number 8: N(E_F) 0.4382 states/eV per atom. Number 9: N(E_F) 0.2320 states/eV per atom. Number 10: N(E_F) 0.2308 states/eV per atom. Number 11: N(E_F) 0.2216 states/eV per atom. Number 12: N(E_F) 0.3005 states/eV per atom. Number 13: N(E_F) 0.1953 states/eV per atom. Number 14: N(E_F) 1.1972 states/eV per atom. Number 15: N(E_F) 0.3361 states/eV per atom. Number 16: N(E_F) 0.1951 states/eV per atom. Number 17: N(E_F) 0.2378 states/eV per atom. Number 18: N(E_F) 0.5806 states/eV per atom. Number 19: N(E_F) 0.1403 states/eV per atom. Number 20: N(E_F) 0.3836 states/eV per atom. Number 21: N(E_F) 0.6569 states/eV per atom. Number 22: N(E_F) 0.9475 states/eV per atom. Number 23: N(E_F) 0.4188 states/eV per atom. Number 24: N(E_F) 0.1505 states/eV per atom.